[1]
DFT (PBE) results for a relaxed structure of CeNdZn.

It has space group I4mm (No. 107), with a = 3.669 Å, b = 3.669 Å, c = 12.291 Å, α = 90.00°, β = 90.00° and γ = 90.00°. The inequivalent atoms are Ce at (0.000, 0.000, 0.000), Nd at (0.000, 0.000, 0.709) and Zn at (0.000, 0.000, 0.356).

For the total magnetization, the calculation gives 0.4249 μB/atom. The value obtained for the polymorph energy (0 for the lowest one) is 23 meV per atom. For the density, the calculation gives 7.020 g cm⁻³. For the formation energy, the calculation gives -0.11 eV/atom.



[2]
DFT (PBE) results for a relaxed structure of CeNdZn.

It has space group Cmcm (No. 63), with a = 3.572 Å, b = 16.754 Å, c = 5.318 Å, α = 90.00°, β = 90.00° and γ = 90.00°. The inequivalent atoms are Ce at (0.000, 0.234, 0.250), Nd at (0.000, 0.075, 0.750) and Zn at (0.000, 0.416, 0.750).

For the total magnetization, the calculation gives 0.2318 μB/atom. The value obtained for the polymorph energy (0 for the lowest one) is 0 meV per atom. For the density, the calculation gives 7.300 g cm⁻³. For the formation energy, the calculation gives -0.13 eV/atom.



[3]
DFT (PBE) results for a relaxed structure of CeNdZn.

It has space group P3m1 (No. 156), with a = 4.9355 Å, b = 4.9355 Å, c = 3.6249 Å, α = 90.00°, β = 90.00° and γ = 120.00°. The inequivalent atoms are Ce at (0.0000, 0.0000, 0.0000), Nd at (0.6667, 0.3333, 0.3627) and Zn at (0.3333, 0.6667, 0.6722).

For the total magnetization, the calculation gives 0.1314 μB/atom. The value obtained for the polymorph energy (0 for the lowest one) is 112 meV per atom. For the density, the calculation gives 7.595 g cm⁻³. For the formation energy, the calculation gives -0.02 eV/atom.



[4]
DFT (PBE) results for a relaxed structure of CeNd2Zr.

It has space group P4/mmm (No. 123), with a = 4.950 Å, b = 4.950 Å, c = 4.928 Å, α = 90.00°, β = 90.00° and γ = 90.00°. The inequivalent atoms are Ce at (0.000, 0.000, 0.000), Nd at (0.000, 0.500, 0.500) and Zr at (0.500, 0.500, 0.000).

For the total magnetization, the calculation gives 0.1486 μB/atom. The value obtained for the polymorph energy (0 for the lowest one) is 9 meV per atom. For the density, the calculation gives 7.150 g cm⁻³. For the formation energy, the calculation gives 0.18 eV/atom.



[5]
DFT (PBE) results for a relaxed structure of CeNdZr.

It has space group P3m1 (No. 156), with a = 3.4012 Å, b = 3.4012 Å, c = 8.3890 Å, α = 90.00°, β = 90.00° and γ = 120.00°. The inequivalent atoms are Ce at (0.0000, 0.0000, 0.0000), Nd at (0.6667, 0.3333, 0.3520) and Zr at (0.3333, 0.6667, 0.6885).

For the total magnetization, the calculation gives 0.0000 μB/atom. The value obtained for the polymorph energy (0 for the lowest one) is 3 meV per atom. For the density, the calculation gives 7.421 g cm⁻³. For the formation energy, the calculation gives 0.14 eV/atom.



[6]
DFT (PBE) results for a relaxed structure of CeNd2Zr.

It has space group P4/mmm (No. 123), with a = 4.078 Å, b = 4.078 Å, c = 7.285 Å, α = 90.00°, β = 90.00° and γ = 90.00°. The inequivalent atoms are Ce at (0.000, 0.000, 0.000), Nd at (0.500, 0.500, 0.274) and Zr at (0.000, 0.000, 0.500).

For the total magnetization, the calculation gives 0.2287 μB/atom. The value obtained for the polymorph energy (0 for the lowest one) is 85 meV per atom. For the density, the calculation gives 7.126 g cm⁻³. For the formation energy, the calculation gives 0.25 eV/atom.